This record from the Alexandria database describes a relaxed NdHo2Hg4 crystal. The functional is PBE-GGA.

a = 7.234 Å, b = 10.686 Å, c = 5.137 Å
α = 90.00°, β = 90.00°, γ = 90.00°
Space group Cmmm (No. 65)
Unique sites:
Nd 0.000 0.000 0.000
Ho 0.000 0.256 0.500
Hg 0.226 0.500 0.500
Hg 0.250 0.250 0.000

Computed properties:
**Density of states at the Fermi level**: 8.50 states/eV/cell
**Final energy**: -2.53 eV/atom
**ΔE_f**: -35.9 kJ per mole of atoms
**Relative energy among the computed polymorphs**: 0 meV per atom